Ni4IrPd: relaxed, PBE.

Results
N(E_F) (states/eV/cell): 10.29
Energy above the most stable polymorph in this dataset (meV/atom): 72
Formation energy (eV per atom): 0.13
Raw total energy (eV per atom): -6.07
SG: Immm, No. 71
Magnetization (μB per cell): 4.03

Cell: 4.8380 4.8380 4.8380 Å, 129.98 115.31 85.99°
Positions (direct):
Ni  0.0823  0.8333  0.2490
Ni  0.4156  0.1667  0.2490
Ni  0.5844  0.8333  0.7510
Ni  0.9177  0.1667  0.7510
Ir  0.0000  0.5000  0.5000
Pd  0.5000  0.5000  0.0000